{
  "formula": "ReTc5",
  "functional": "GGA-PBE",
  "state": "optimized geometry",
  "lattice": [[-4.566, -1.495, 1.294], [3.852, -3.122, 0.419], [0.708, 1.431, 4.152]],
  "species": ["Tc", "Tc", "Tc", "Tc", "Tc", "Re"],
  "frac_coords": [[0.000, 0.500, 0.500], [0.667, 0.333, 0.000], [0.333, 0.667, 0.000], [0.500, 0.500, 0.500], [0.500, 0.000, 0.500], [0.000, 0.000, 0.000]],
  "polymorph_energy_mev_per_atom": 606.1,
  "magmom_total_mub_per_fu": 0.0
}


{
  "formula": "PmY2ScS4",
  "functional": "GGA-PBE",
  "state": "optimized geometry",
  "lattice": [[-0.216, 3.786, -0.756], [-4.498, 0.754, 5.065], [6.224, 0.842, 2.439]],
  "species": ["S", "S", "S", "S", "Y", "Y", "Pm", "Sc"],
  "frac_coords": [[0.500, 0.765, 0.758], [0.000, 0.763, 0.252], [0.500, 0.235, 0.242], [0.000, 0.237, 0.748], [0.500, 0.000, 0.500], [0.000, 0.500, 0.500], [0.500, 0.500, 0.000], [0.000, 0.000, 0.000]],
  "raw_formation_energy_ev_per_atom": -1.95,
  "magmom_total_mub_per_fu": 0.0
}


{
  "formula": "LaSm2ThN4",
  "functional": "GGA-PBE",
  "state": "optimized geometry",
  "lattice": [[-2.388, 1.524, 2.303], [2.262, -3.565, 4.704], [3.212, 5.415, -0.252]],
  "species": ["N", "N", "N", "N", "Th", "Sm", "Sm", "La"],
  "frac_coords": [[0.000, 0.761, 0.251], [0.500, 0.240, 0.247], [0.500, 0.760, 0.753], [0.000, 0.239, 0.749], [0.000, 0.000, 0.000], [0.000, 0.500, 0.500], [0.500, 0.000, 0.500], [0.500, 0.500, 0.000]],
  "raw_formation_energy_ev_per_atom": -1.50,
  "magmom_total_mub_per_fu": 0.0
}


{
  "formula": "MgCdH2",
  "functional": "GGA-PBE",
  "state": "optimized geometry",
  "lattice": [[5.882, 0.000, 0.000], [0.000, 5.882, 0.000], [2.941, 2.941, 4.157]],
  "species": ["Cd", "Cd", "Mg", "Mg", "H", "H", "H", "H"],
  "frac_coords": [[0.750, 0.250, 0.500], [0.000, 0.000, 0.000], [0.250, 0.750, 0.500], [0.500, 0.500, 0.000], [0.366, 0.125, 0.250], [0.384, 0.625, 0.250], [0.875, 0.616, 0.750], [0.375, 0.634, 0.750]],
  "polymorph_energy_mev_per_atom": 121.4,
  "magmom_total_mub_per_fu": 0.0
}


{
  "formula": "Zr6Fe2Sb",
  "functional": "GGA-PBE",
  "state": "optimized geometry",
  "lattice": [[-2.306, -5.310, -5.318], [-2.782, -1.393, 7.219], [-2.733, 7.249, -1.334]],
  "species": ["Zr", "Zr", "Zr", "Zr", "Zr", "Zr", "Zr", "Zr", "Zr", "Zr", "Zr", "Zr", "Sb", "Sb", "Fe", "Fe", "Fe", "Fe"],
  "frac_coords": [[0.689, 0.333, 0.022], [0.311, 0.333, 0.644], [0.206, 0.967, 0.762], [0.311, 0.667, 0.978], [0.881, 0.183, 0.698], [0.794, 0.033, 0.238], [0.514, 0.817, 0.698], [0.794, 0.556, 0.762], [0.119, 0.817, 0.302], [0.486, 0.183, 0.302], [0.689, 0.667, 0.356], [0.206, 0.444, 0.238], [0.000, 0.500, 0.500], [0.000, 0.000, 0.000], [0.339, 0.339, 0.000], [0.500, 0.132, 0.632], [0.500, 0.868, 0.368], [0.661, 0.661, 0.000]],
  "polymorph_energy_mev_per_atom": 0.0,
  "raw_formation_energy_ev_per_atom": -0.21,
  "magmom_total_mub_per_fu": 0.0
}


{
  "formula": "CdC2O",
  "functional": "GGA-PBE",
  "state": "optimized geometry",
  "lattice": [[5.022, 0.000, 0.000], [0.000, 5.022, 0.000], [2.511, 2.511, 3.718]],
  "species": ["O", "O", "Cd", "Cd", "C", "C", "C", "C"],
  "frac_coords": [[0.500, 0.500, 0.000], [0.250, 0.750, 0.500], [0.750, 0.250, 0.500], [0.000, 0.000, 0.000], [0.212, 0.625, 0.250], [0.538, 0.125, 0.250], [0.875, 0.788, 0.750], [0.375, 0.462, 0.750]],
  "polymorph_energy_mev_per_atom": 0.0,
  "raw_formation_energy_ev_per_atom": 2.08,
  "magmom_total_mub_per_fu": 0.0
}


{
  "formula": "YZn2InH",
  "functional": "GGA-PBE",
  "state": "optimized geometry",
  "lattice": [[4.444, 0.000, 0.000], [0.000, 4.444, 0.000], [0.000, 0.000, 4.321]],
  "species": ["Zn", "Zn", "H", "Y", "In"],
  "frac_coords": [[0.500, 0.000, 0.000], [0.000, 0.500, 0.000], [0.000, 0.000, 0.000], [0.000, 0.000, 0.500], [0.500, 0.500, 0.500]],
  "magmom_total_mub_per_fu": 0.0,
  "e_tot_ev_per_cell": -16.244
}


{
  "formula": "Sr5SiBr5",
  "functional": "GGA-PBE",
  "state": "optimized geometry",
  "lattice": [[6.314, 0.000, 0.000], [-3.157, 6.908, -2.365], [0.000, 0.069, 9.076]],
  "species": ["Si", "Br", "Br", "Br", "Br", "Br", "Sr", "Sr", "Sr", "Sr", "Sr"],
  "frac_coords": [[0.000, 0.000, 0.000], [0.327, 0.653, 0.166], [0.000, 0.000, 0.500], [0.673, 0.347, 0.834], [0.686, 0.372, 0.340], [0.314, 0.628, 0.660], [0.152, 0.304, 0.314], [0.152, 0.303, 0.840], [0.848, 0.696, 0.686], [0.500, 0.000, 0.000], [0.848, 0.697, 0.160]],
  "raw_formation_energy_ev_per_atom": -1.54,
  "magmom_total_mub_per_fu": 0.0
}


{
  "formula": "LaNb2ReCl",
  "functional": "GGA-PBE",
  "state": "optimized geometry",
  "lattice": [[-3.048, -3.198, 1.598], [0.250, -2.264, -4.055], [3.566, -2.572, 1.656]],
  "species": ["Nb", "Nb", "Re", "La", "Cl"],
  "frac_coords": [[0.000, 0.000, 0.500], [0.500, 0.000, 0.000], [0.000, 0.500, 0.000], [0.500, 0.500, 0.500], [0.000, 0.000, 0.000]],
  "raw_formation_energy_ev_per_atom": 0.76,
  "magmom_total_mub_per_fu": 0.0
}


{
  "formula": "TeHF",
  "functional": "GGA-PBE",
  "state": "optimized geometry",
  "lattice": [[3.065, 0.000, 0.000], [0.000, 4.451, 0.000], [-1.532, -2.226, 3.639]],
  "species": ["Te", "H", "F"],
  "frac_coords": [[0.746, 0.746, 0.492], [0.978, 0.978, 0.957], [0.275, 0.275, 0.551]],
  "polymorph_energy_mev_per_atom": 605.8,
  "magmom_total_mub_per_fu": 0.0
}


{
  "formula": "TlCdHgPb3",
  "functional": "GGA-PBE",
  "state": "optimized geometry",
  "lattice": [[-0.212, 2.767, -2.220], [-9.367, 0.039, 0.941], [5.470, 6.574, 7.673]],
  "species": ["Pb", "Pb", "Pb", "Pb", "Pb", "Pb", "Hg", "Hg", "Cd", "Cd", "Tl", "Tl"],
  "frac_coords": [[0.250, 0.595, 0.778], [0.750, 0.346, 0.510], [0.750, 0.857, 0.030], [0.250, 0.654, 0.490], [0.750, 0.405, 0.222], [0.250, 0.143, 0.970], [0.250, 0.115, 0.267], [0.750, 0.885, 0.733], [0.250, 0.613, 0.110], [0.750, 0.387, 0.890], [0.250, 0.127, 0.643], [0.750, 0.873, 0.357]],
  "magmom_total_mub_per_fu": 0.0,
  "e_tot_ev_per_cell": -29.184
}


{
  "formula": "K2PtPb",
  "functional": "GGA-PBE",
  "state": "optimized geometry",
  "lattice": [[11.513, 0.022, 0.013], [10.997, 3.409, 0.013], [10.997, 1.676, 2.968]],
  "species": ["Pb", "K", "K", "Pt"],
  "frac_coords": [[0.250, 0.250, 0.250], [0.490, 0.490, 0.490], [0.010, 0.010, 0.010], [0.750, 0.750, 0.750]],
  "magmom_total_mub_per_fu": 0.5,
  "e_tot_ev_per_cell": -11.028
}